[1]
Dy2Co4GeP3, relaxed, DFT GGA-PBE; total moment = 1.00 μB/f.u.
1.0
-3.5910 -0.9504 -1.2644
1.4958 -3.0606 -1.9475
-1.2156 -5.3502 7.4743
P Dy Co Ge
3 2 4 1
Direct
0.0000 0.0000 0.5000
0.0000 0.5000 0.1305
0.5000 0.0000 0.8695
0.0000 0.5000 0.7505
0.5000 0.0000 0.2495
0.0000 0.0000 0.0000
0.5000 0.5000 0.0000
0.0000 0.5000 0.3710
0.5000 0.0000 0.6290
0.5000 0.5000 0.5000

[2]
DyCoGe2Pd, relaxed, DFT GGA-PBE; total moment = 1.19 μB/f.u.
1.0
4.1164 0.0000 0.0000
0.0000 4.1164 0.0000
-2.0582 -2.0582 5.1094
Ge Dy Pd Co
2 1 1 1
Direct
0.3782 0.3782 0.7565
0.6218 0.6218 0.2435
0.0000 0.0000 0.0000
0.2500 0.7500 0.5000
0.7500 0.2500 0.5000

[3]
PmDyCoGe, relaxed, DFT GGA-PBE; total moment = 0.78 μB/f.u.
1.0
4.9872 0.0000 0.0000
2.4936 4.3190 0.0000
2.4936 1.4397 4.0720
Pm Dy Ge Co
1 1 1 1
Direct
0.5000 0.5000 0.5000
0.0000 0.0000 0.0000
0.2500 0.2500 0.2500
0.7500 0.7500 0.7500

Computed ΔE_f (eV/atom) in order:
-0.8953, -0.6557, -0.3494
Computed calculated volume (Å³ per cell) in order:
142.8, 86.6, 87.7
Computed N(E_F) (states/eV/cell) in order:
5.8, 2.2, 1.8